1.
VASP calculation (PBE) on crystalline CoCuAu at its relaxed geometry.

Cell: 4.7264 4.7264 4.7264 Å, 146.48 134.10 58.03°
Closest atoms and distances in Å follow each position.
Positions (direct):
Au (0.9996, 0.9996, 0.0000)  5 Cu 2.68-2.71, 5 Co 2.69-2.71, 2 Au 2.73
Co (0.3251, 0.3251, 0.0000)  5 Cu 2.61-2.89, 5 Au 2.69-2.71, 2 Co 2.73
Cu (0.6753, 0.6753, 0.0000)  5 Co 2.61-2.89, 5 Au 2.68-2.71, 2 Cu 2.73

Computed properties:
- Space group: Imm2 (44)
- Size of the total moment: 1.76 μB per formula unit
- Formation enthalpy at 0 K: 0.21 eV per atom
- Raw total energy: -4.62 eV per atom
- ΔE to the lowest computed polymorph: 0.07 eV per formula unit

2.
VASP calculation (PBE) on crystalline SnTeI3 at its relaxed geometry.

Cell: 6.1006 6.1006 6.1006 Å, 90.00 90.00 90.00°
Closest atoms and distances in Å follow each position.
Positions (direct):
I (0.0000, 0.5000, 0.0000)  2 Sn 3.05
I (0.0000, 0.0000, 0.5000)  2 Sn 3.05
I (0.5000, 0.0000, 0.0000)  2 Sn 3.05
Te (0.5000, 0.5000, 0.5000)  12 I 4.31
Sn (0.0000, 0.0000, 0.0000)  6 I 3.05

Computed properties:
- Space group: Pm-3m (221)
- Size of the total moment: 2.73 μB per formula unit
- Uncorrected formation energy: 0.67 eV/f.u.
- Raw total energy: -2.22 eV per atom
- ΔE to the lowest computed polymorph: 0.00 eV per formula unit

3.
VASP calculation (PBE) on crystalline Be4NbGe2 at its relaxed geometry.

Cell: 4.3037 4.3037 6.8355 Å, 71.65 71.65 90.00°
Closest atoms and distances in Å follow each position.
Positions (direct):
Be (0.8053, 0.8053, 0.3895)  1 Ge 2.27, 1 Nb 2.38
Be (0.1947, 0.1947, 0.6105)  1 Ge 2.27, 1 Nb 2.38
Be (0.0000, 0.5000, 0.0000)  2 Nb 2.15
Be (0.5000, 0.0000, 0.0000)  2 Nb 2.15
Nb (0.0000, 0.0000, 0.0000)  6 Be 2.15-2.38
Ge (0.6202, 0.6202, 0.7597)  1 Be 2.27
Ge (0.3798, 0.3798, 0.2403)  1 Be 2.27

Computed properties:
- Space group: I4/mmm (139)
- Size of the total moment: 0.00 μB per formula unit
- Formation enthalpy at 0 K: 0.98 eV per atom
- Raw total energy: -3.91 eV per atom

4.
VASP calculation (PBE) on crystalline Pm2PPt3 at its relaxed geometry.

Cell: 3.8864 4.2797 7.6060 Å, 90.00 90.00 90.00°
Closest atoms and distances in Å follow each position.
Positions (direct):
Pm (0.0000, 0.5000, 0.0016)  2 P 3.11, 10 Pt 3.14-3.42
Pm (0.0000, 0.0000, 0.5086)  8 Pt 3.04-3.19, 4 P 3.22
P (0.5000, 0.5000, 0.3209)  3 Pt 2.34-2.36
Pt (0.5000, 0.0000, 0.8412)  3 Pt 2.67-2.70
Pt (0.5000, 0.0000, 0.1968)  2 P 2.34
Pt (0.5000, 0.5000, 0.6308)  1 P 2.36

Computed properties:
- Space group: Pmm2 (25)
- Size of the total moment: 0.00 μB per formula unit
- Formation enthalpy at 0 K: -1.16 eV per atom
- Raw total energy: -6.66 eV per atom
- ΔE to the lowest computed polymorph: 0.08 eV per formula unit

5.
VASP calculation (PBE) on crystalline ZrBe2BiC at its relaxed geometry.

Cell: 4.7844 4.2952 4.7844 Å, 90.00 90.00 90.00°
Closest atoms and distances in Å follow each position.
Positions (direct):
Be (0.0000, 0.0000, 0.5000)  2 Zr 2.39
Be (0.5000, 0.0000, 0.0000)  2 Zr 2.39
C (0.0000, 0.5000, 0.0000)  2 Zr 2.15
Bi (0.5000, 0.5000, 0.5000)  8 Be 3.21, 4 C 3.38
Zr (0.0000, 0.0000, 0.0000)  2 C 2.15, 4 Be 2.39

Computed properties:
- Space group: P4/mmm (123)
- Size of the total moment: 0.00 μB per formula unit
- Formation enthalpy at 0 K: 1.46 eV per atom
- Raw total energy: -4.36 eV per atom

6.
VASP calculation (PBE) on crystalline Li2TaHg at its relaxed geometry.

Cell: 2.8511 2.8511 8.5905 Å, 90.00 90.00 90.00°
Closest atoms and distances in Å follow each position.
Positions (direct):
Hg (0.5000, 0.5000, 0.7500)  4 Hg 2.85, 8 Li 2.87
Li (0.0000, 0.0000, 0.9885)  4 Li 2.85, 4 Hg 2.87, 4 Ta 3.02
Li (0.0000, 0.0000, 0.5115)  4 Li 2.85, 4 Hg 2.87, 4 Ta 3.02
Ta (0.5000, 0.5000, 0.2500)  4 Ta 2.85, 8 Li 3.02

Computed properties:
- Space group: P4/mmm (123)
- Size of the total moment: 0.00 μB per formula unit
- Formation enthalpy at 0 K: 0.21 eV per atom
- Raw total energy: -3.79 eV per atom

7.
VASP calculation (PBE) on crystalline IrCSeN2 at its relaxed geometry.

Cell: 3.6174 3.6174 4.0282 Å, 90.00 90.00 90.00°
Closest atoms and distances in Å follow each position.
Positions (direct):
C (0.0000, 0.0000, 0.0000)  4 N 1.81, 2 Se 2.01
Ir (0.5000, 0.5000, 0.5000)  4 Se 2.56, 8 N 2.71
Se (0.0000, 0.0000, 0.5000)  2 C 2.01
N (0.0000, 0.5000, 0.0000)  2 C 1.81
N (0.5000, 0.0000, 0.0000)  2 C 1.81

Computed properties:
- Space group: P4/mmm (123)
- Size of the total moment: 0.00 μB per formula unit
- Uncorrected formation energy: 11.91 eV/f.u.
- Raw total energy: -5.26 eV per atom
- ΔE to the lowest computed polymorph: 2.54 eV per formula unit

8.
VASP calculation (PBE) on crystalline La3NdTm7 at its relaxed geometry.

Cell: 6.6911 8.6173 6.5349 Å, 81.61 95.08 80.27°
Closest atoms and distances in Å follow each position.
Positions (direct):
La (0.0601, 0.8385, 0.1986)  7 Tm 3.38-3.76, 2 La 3.45-3.72
La (0.5000, 0.0000, 0.0000)  8 Tm 3.42-3.76, 4 La 3.72-3.81
La (0.9399, 0.1615, 0.8014)  7 Tm 3.38-3.76, 2 La 3.45-3.72
Nd (0.5000, 0.5000, 0.5000)  8 Tm 3.35-3.63
Tm (0.7763, 0.2135, 0.2804)  1 Nd 3.40, 6 Tm 3.40-3.72, 4 La 3.42-3.60
Tm (0.7071, 0.8535, 0.5609)  6 Tm 3.35-3.59, 2 La 3.49-3.59, 1 Nd 3.61
Tm (0.2672, 0.4200, 0.0128)  6 Tm 3.35-3.72, 1 Nd 3.63, 2 La 3.70-3.71
Tm (0.7328, 0.5800, 0.9872)  6 Tm 3.35-3.72, 1 Nd 3.63, 2 La 3.70-3.71
Tm (0.0000, 0.5000, 0.5000)  2 Nd 3.35, 2 La 3.38, 6 Tm 3.43-3.57
Tm (0.2929, 0.1465, 0.4391)  6 Tm 3.35-3.59, 2 La 3.49-3.59, 1 Nd 3.61
Tm (0.2237, 0.7865, 0.7196)  1 Nd 3.40, 6 Tm 3.40-3.72, 4 La 3.42-3.60

Computed properties:
- Space group: P-1 (2)
- Size of the total moment: 0.00 μB per formula unit
- Formation enthalpy at 0 K: 0.12 eV per atom
- Raw total energy: -4.50 eV per atom
- ΔE to the lowest computed polymorph: 0.00 eV per formula unit

9.
VASP calculation (PBE) on crystalline Sm2PuZr at its relaxed geometry.

Cell: 4.8386 4.8657 4.8657 Å, 90.00 90.00 90.00°
Closest atoms and distances in Å follow each position.
Positions (direct):
Zr (0.5000, 0.5000, 0.5000)  8 Sm 3.43, 4 Pu 3.44
Sm (0.0000, 0.0000, 0.5000)  4 Zr 3.43, 4 Pu 3.43, 4 Sm 3.44
Sm (0.0000, 0.5000, 0.0000)  4 Zr 3.43, 4 Pu 3.43, 4 Sm 3.44
Pu (0.5000, 0.0000, 0.0000)  8 Sm 3.43, 4 Zr 3.44

Computed properties:
- Space group: P4/mmm (123)
- Size of the total moment: 5.75 μB per formula unit
- Formation enthalpy at 0 K: 0.21 eV per atom
- Raw total energy: -7.87 eV per atom

10.
VASP calculation (PBE) on crystalline Li2YTaF at its relaxed geometry.

Cell: 5.0176 5.0176 5.4474 Å, 90.00 90.00 90.00°
Closest atoms and distances in Å follow each position.
Positions (direct):
Y (0.0000, 0.0000, 0.5000)  2 Ta 2.72
F (0.5000, 0.5000, 0.5000)  4 Y 3.55, 8 Li 3.70
Li (0.0000, 0.5000, 0.0000)  2 Ta 2.51
Li (0.5000, 0.0000, 0.0000)  2 Ta 2.51
Ta (0.0000, 0.0000, 0.0000)  4 Li 2.51, 2 Y 2.72

Computed properties:
- Space group: P4/mmm (123)
- Size of the total moment: 2.90 μB per formula unit
- Uncorrected formation energy: 4.15 eV/f.u.
- Raw total energy: -3.97 eV per atom

11.
VASP calculation (PBE) on crystalline Ac2Pm3NdTe6 at its relaxed geometry.

Cell: 4.5388 9.1826 10.2053 Å, 103.42 102.85 90.00°
Closest atoms and distances in Å follow each position.
Positions (direct):
Ac (0.8353, 0.6691, 0.6707)  6 Te 3.29-3.32
Ac (0.1647, 0.3309, 0.3293)  6 Te 3.29-3.32
Pm (0.5000, 0.5000, 0.0000)  6 Te 3.16-3.22
Pm (0.8309, 0.1637, 0.6618)  6 Te 3.15-3.19
Pm (0.1691, 0.8363, 0.3382)  6 Te 3.15-3.19
Nd (0.5000, 0.0000, 0.0000)  6 Te 3.21-3.24
Te (0.3340, 0.9282, 0.6681)  3 Pm 3.15-3.19, 1 Nd 3.21, 2 Ac 3.29
Te (0.6636, 0.5932, 0.3271)  3 Pm 3.16-3.17, 3 Ac 3.31-3.32
Te (0.6660, 0.0718, 0.3319)  3 Pm 3.15-3.19, 1 Nd 3.21, 2 Ac 3.29
Te (0.9944, 0.2492, 0.9887)  3 Pm 3.16-3.22, 2 Nd 3.24, 1 Ac 3.29
Te (0.0056, 0.7508, 0.0113)  3 Pm 3.16-3.22, 2 Nd 3.24, 1 Ac 3.29
Te (0.3364, 0.4068, 0.6729)  3 Pm 3.16-3.17, 3 Ac 3.31-3.32

Computed properties:
- Space group: C2/m (12)
- Size of the total moment: 0.00 μB per formula unit
- Uncorrected formation energy: -17.17 eV/f.u.
- Raw total energy: -5.27 eV per atom

12.
VASP calculation (PBE) on crystalline CsNdTa2O7 at its relaxed geometry.

Cell: 3.9190 3.9190 11.5221 Å, 90.00 90.00 90.00°
Closest atoms and distances in Å follow each position.
Positions (direct):
Cs (0.0000, 0.0000, 0.5000)  8 O 3.26
Nd (0.0000, 0.0000, 0.0000)  12 O 2.67-2.77
Ta (0.5000, 0.5000, 0.1946)  5 O 1.81-2.01
Ta (0.5000, 0.5000, 0.8054)  5 O 1.81-2.01
O (0.5000, 0.5000, 0.6487)  1 Ta 1.81
O (0.0000, 0.5000, 0.1572)  2 Ta 2.01
O (0.5000, 0.0000, 0.1572)  2 Ta 2.01
O (0.0000, 0.5000, 0.8428)  2 Ta 2.01
O (0.5000, 0.0000, 0.8428)  2 Ta 2.01
O (0.5000, 0.5000, 0.3513)  1 Ta 1.81
O (0.5000, 0.5000, 0.0000)  2 Ta 2.24

Computed properties:
- Space group: P4/mmm (123)
- Size of the total moment: 0.00 μB per formula unit
- Uncorrected formation energy: -31.94 eV/f.u.
- Raw total energy: -8.72 eV per atom